Density functional theory data (PBE-GGA) for a relaxed Ti5Co12Tc3 crystal.

Values from the calculation:
total moment: 0.0 μB per formula unit
density: 6.6 g/cm3
VASP energy: -0.523 Ry per atom

Cell: 13.552 13.552 13.552 Å, 90.00 90.00 90.00°
Space group Ia-3d (No. 230)
Inequivalent atoms, fractional coordinates:
Ti  0.000  0.000  0.000
Ti  0.000  0.250  0.375
Co  0.010  0.082  0.651
Tc  0.000  0.250  0.125



Density functional theory data (PBE-GGA) for a relaxed AcPm9Dy2 crystal.

Values from the calculation:
total moment: 0.0 μB per formula unit
density: 7.4 g/cm3
VASP energy: -0.342 Ry per atom

Cell: 5.172 5.172 15.533 Å, 90.00 90.00 90.00°
Space group P4/mmm (No. 123)
Inequivalent atoms, fractional coordinates:
Ac  0.000  0.000  0.000
Pm  0.000  0.500  0.173
Pm  0.000  0.500  0.500
Pm  0.500  0.500  0.000
Pm  0.500  0.500  0.338
Dy  0.000  0.000  0.336



Density functional theory data (PBE-GGA) for a relaxed LaTaSb2 crystal.

Values from the calculation:
total moment: 0.0 μB per formula unit
density: 8.6 g/cm3
energy relative to the elements, uncorrected: -311 meV/atom
energy relative to the lowest polymorph listed for this composition: 0.092 eV/atom
VASP energy: -0.483 Ry per atom

Cell: 3.751 3.977 14.659 Å, 90.00 90.00 90.00°
Space group Imm2 (No. 44)
Inequivalent atoms, fractional coordinates:
La  0.000  0.000  0.000
Ta  0.000  0.500  0.745
Sb  0.000  0.000  0.384
Sb  0.000  0.500  0.174



Density functional theory data (PBE-GGA) for a relaxed VHgTe2 crystal.

Values from the calculation:
total moment: 1.2 μB per formula unit
density: 7.4 g/cm3
energy relative to the elements, uncorrected: -233 meV/atom
VASP energy: -0.306 Ry per atom

Cell: 3.569 6.503 10.089 Å, 103.35 90.01 90.01°
Space group P-1 (No. 2)
Inequivalent atoms, fractional coordinates:
V  0.250  0.209  0.496
Hg  0.251  0.721  0.988
Te  0.250  0.519  0.348
Te  0.250  0.990  0.690



Density functional theory data (PBE-GGA) for a relaxed Na3LiPb3O8 crystal.

Values from the calculation:
total moment: 0.0 μB per formula unit
density: 6.5 g/cm3
energy relative to the elements, uncorrected: -1211 meV/atom
VASP energy: -0.367 Ry per atom

Cell: 6.6014 6.6014 16.8321 Å, 90.00 90.00 120.00°
Space group R-3m (No. 166, hexagonal axes)
Inequivalent atoms, fractional coordinates:
Na  0.0000  0.5000  0.0000
Li  0.0000  0.0000  0.5000
Pb  0.0000  0.5000  0.5000
O  0.0000  0.0000  0.2450
O  0.0037  0.5019  0.7668



Density functional theory data (PBE-GGA) for a relaxed K2LiTc crystal.

Values from the calculation:
total moment: 1.2 μB per formula unit
density: 2.6 g/cm3
energy relative to the lowest polymorph listed for this composition: 0.056 eV/atom
VASP energy: -0.195 Ry per atom

Cell: 13.244 2.805 6.585 Å, 90.00 105.56 90.00°
Space group Cm (No. 8)
Inequivalent atoms, fractional coordinates:
K  0.000  0.000  0.000
K  0.198  0.000  0.607
Li  0.293  0.500  0.192
Tc  0.437  0.000  0.471